{"formula": "Cs2MnOsO6", "functional": "PBE with a Hubbard U", "state": "relaxed", "total_magnetization_mub_per_fu": 1.0, "e_tot_ev_per_atom": -6.32, "mass_density_g_cm3": 5.37, "lattice": [[5.092, 0.000, 0.000], [0.000, 6.523, 0.000], [0.000, -3.261, 5.649]], "species": ["Cs", "Cs", "Mn", "Os", "O", "O", "O", "O", "O", "O"], "fractional_positions": [[0.267, 0.333, 0.667], [0.733, 0.667, 0.333], [0.500, 0.000, 0.000], [0.000, 0.000, 0.000], [0.751, 0.131, 0.262], [0.751, 0.131, 0.869], [0.751, 0.738, 0.869], [0.249, 0.869, 0.131], [0.249, 0.262, 0.131], [0.249, 0.869, 0.738]]}